(1)
BiIr17: relaxed, GGA-PBE.

a b c (Å): 4.7079 5.4458 33.5619
angles (deg): 90.00 90.01 90.00
With the nearest neighbours (Å) after each atom.
Space group P2_1/m (No. 11)
Asymmetric unit:
1 Bi 0.1695 0.2500 0.3026 [2 per cell]  6 Ir 2.99-3.00
2 Ir 0.0000 0.0000 0.0000 [2 per cell]  12 Ir 2.72-2.75
3 Ir 0.9996 0.0028 0.2000 [4 per cell]  11 Ir 2.69-2.75
4 Ir 0.1660 0.7500 0.0666 [2 per cell]  12 Ir 2.71-2.75
5 Ir 0.1667 0.2500 0.0672 [2 per cell]  12 Ir 2.72-2.75
6 Ir 0.1673 0.7500 0.8660 [2 per cell]  12 Ir 2.71-2.74
7 Ir 0.1691 0.2500 0.8664 [2 per cell]  12 Ir 2.71-2.75
8 Ir 0.1700 0.7500 0.2658 [2 per cell]  7 Ir 2.68-2.73, 2 Bi 2.99
9 Ir 0.3321 0.0000 0.1338 [4 per cell]  12 Ir 2.71-2.75
10 Ir 0.3330 0.0004 0.9330 [4 per cell]  12 Ir 2.71-2.75
11 Ir 0.3327 0.0006 0.7347 [4 per cell]  7 Ir 2.68-2.73, 1 Bi 2.99
12 Ir 0.4977 0.2500 0.2009 [2 per cell]  11 Ir 2.68-2.74
13 Ir 0.4980 0.7500 0.2007 [2 per cell]  12 Ir 2.68-2.74
14 Ir 0.5000 0.2500 0.0000 [2 per cell]  12 Ir 2.72-2.75

Computed properties:
The value obtained for the offset from the most stable computed form is 0 meV per atom.

(2)
BiIr17: relaxed, GGA-PBE.

a b c (Å): 5.4535 5.4535 33.4966
angles (deg): 90.00 90.00 120.00
With the nearest neighbours (Å) after each atom.
Space group P-3m1 (No. 164)
Asymmetric unit:
1 Bi 0.3333 0.6667 0.2998 [2 per cell]  6 Ir 2.96
2 Ir 0.0000 0.0000 0.0000 [1 per cell]  12 Ir 2.73-2.74
3 Ir 0.0000 0.0000 0.2019 [2 per cell]  12 Ir 2.65-2.77
4 Ir 0.0000 0.5000 0.0000 [3 per cell]  12 Ir 2.73-2.74
5 Ir 0.0019 0.5010 0.2002 [6 per cell]  11 Ir 2.70-2.74
6 Ir 0.1662 0.3324 0.7343 [6 per cell]  7 Ir 2.65-2.73, 2 Bi 2.96
7 Ir 0.1663 0.3327 0.1339 [6 per cell]  12 Ir 2.72-2.77
8 Ir 0.1668 0.3337 0.9330 [6 per cell]  12 Ir 2.72-2.74
9 Ir 0.3333 0.6667 0.0668 [2 per cell]  12 Ir 2.73-2.75
10 Ir 0.3333 0.6667 0.8664 [2 per cell]  12 Ir 2.73-2.74

Computed properties:
The value obtained for the offset from the most stable computed form is 6 meV per atom.